Entry 1:
DFT (GGA-PBE) results for an optimized crystal structure of Ba12Rh5S3.

Cell and atoms, written as POSCAR:
```
Ba12Rh5S3
1.0
-15.3262 2.7214 3.5108
8.3535 -1.5661 13.5052
5.7795 12.2476 -8.4391
S Rh Ba
12 20 48
direct
0.7500 0.3750 0.1250
0.8750 0.7500 0.1250
0.3750 0.7500 0.6250
0.2500 0.1250 0.3750
0.8750 0.1250 0.2500
0.3750 0.6250 0.2500
0.6250 0.3750 0.7500
0.1250 0.8750 0.7500
0.7500 0.8750 0.6250
0.6250 0.2500 0.3750
0.1250 0.2500 0.8750
0.2500 0.6250 0.8750
0.1250 0.3750 0.2500
0.0000 0.5000 0.0000
0.0000 0.0000 0.0000
0.3750 0.2500 0.1250
0.5000 0.0000 0.5000
0.5000 0.5000 0.0000
0.1250 0.7500 0.3750
0.7500 0.1250 0.8750
0.7500 0.6250 0.3750
0.3750 0.1250 0.7500
0.6250 0.8750 0.2500
0.5000 0.5000 0.5000
0.5000 0.0000 0.0000
0.0000 0.0000 0.5000
0.2500 0.3750 0.6250
0.2500 0.8750 0.1250
0.0000 0.5000 0.5000
0.8750 0.2500 0.6250
0.6250 0.7500 0.8750
0.8750 0.6250 0.7500
0.7153 0.1306 0.0393
0.3239 0.5393 0.4087
0.9607 0.3694 0.2847
0.5393 0.2153 0.1306
0.5848 0.7153 0.6761
0.9607 0.5913 0.1761
0.3239 0.7847 0.4152
0.0913 0.9152 0.1306
0.5913 0.9607 0.6761
0.7153 0.5848 0.1761
0.7847 0.4607 0.3694
0.8239 0.9087 0.0393
0.1306 0.7153 0.5393
0.3694 0.4087 0.0848
0.0848 0.9087 0.3694
0.4152 0.1306 0.5913
0.0848 0.1761 0.2153
0.4607 0.6761 0.0913
0.8239 0.9152 0.2847
0.1306 0.4152 0.0913
0.3694 0.9607 0.7847
0.5913 0.6306 0.4152
0.9087 0.8239 0.5393
0.7847 0.3239 0.9152
0.4087 0.3694 0.5848
0.0913 0.1761 0.4607
0.2153 0.6761 0.0848
0.1761 0.0848 0.7153
0.6306 0.0393 0.2153
0.8694 0.5848 0.9087
0.5393 0.3239 0.9087
0.5848 0.8694 0.4087
0.9152 0.8239 0.7847
0.9152 0.0913 0.6306
0.8694 0.2847 0.4607
0.1761 0.0913 0.9607
0.6306 0.5913 0.9152
0.4087 0.0393 0.3239
0.2847 0.4152 0.8239
0.2153 0.5393 0.6306
0.9087 0.0848 0.8694
0.6761 0.2153 0.5848
0.4607 0.7847 0.8694
0.0393 0.4087 0.8239
0.4152 0.2847 0.3239
0.0393 0.6306 0.7153
0.6761 0.4607 0.5913
0.2847 0.8694 0.9607
```

Calculated total energy, eV per cell: -328.42
Space-group type: No. 230
Raw formation energy, eV per atom: -0.495

***

Entry 2:
DFT (GGA-PBE) results for an optimized crystal structure of TiZnFeAu2.

Cell and atoms, written as POSCAR:
```
TiZnFeAu2
1.0
5.0138 0.0000 0.0000
0.0000 4.0884 0.0000
0.0000 0.0000 5.0138
Zn Au Fe Ti
1 2 1 1
direct
0.5000 0.5000 0.5000
0.0000 0.0000 0.5000
0.5000 0.0000 0.0000
0.0000 0.5000 0.0000
0.0000 0.0000 0.0000
```

Calculated total energy, eV per cell: -19.77
Space-group type: No. 123
ΔE_f, eV per atom: 0.883

***

Entry 3:
DFT (GGA-PBE) results for an optimized crystal structure of ScMnW2.

Cell and atoms, written as POSCAR:
```
ScMnW2
1.0
-0.3208 2.8614 -0.7445
-0.8744 0.6236 2.7733
6.8611 1.2585 1.8803
Mn Sc W
1 1 2
direct
0.5000 0.5000 0.2500
0.5000 0.5000 0.7500
0.0000 0.0000 0.0408
0.0000 0.0000 0.4592
```

Calculated total energy, eV per cell: -40.44
Space-group type: No. 123
ΔE_f, eV per atom: 0.241

***

Entry 4:
DFT (GGA-PBE) results for an optimized crystal structure of AlCu2AsN.

Cell and atoms, written as POSCAR:
```
AlCu2AsN
1.0
-2.9026 3.4705 1.0486
-0.0144 -1.1254 3.6850
3.6254 2.7721 0.8608
As Al Cu N
1 1 2 1
direct
0.0000 0.0000 0.0000
0.5000 0.5000 0.5000
0.0000 0.0000 0.5000
0.5000 0.0000 0.0000
0.0000 0.5000 0.0000
```

Calculated total energy, eV per cell: -20.15
Space-group type: No. 123
Raw formation energy, eV per atom: 0.951

***

Entry 5:
DFT (GGA-PBE) results for an optimized crystal structure of TlSiSN2.

Cell and atoms, written as POSCAR:
```
TlSiSN2
1.0
4.2357 0.0000 0.0000
0.0000 4.2357 0.0000
0.0000 0.0000 5.6451
Tl Si S N
1 1 1 2
direct
0.0000 0.0000 0.0000
0.5000 0.5000 0.5000
0.0000 0.0000 0.5000
0.0000 0.5000 0.0000
0.5000 0.0000 0.0000
```

Calculated total energy, eV per cell: -18.58
Space-group type: No. 123
Raw formation energy, eV per atom: 1.997

***

Entry 6:
DFT (GGA-PBE) results for an optimized crystal structure of AcCuAuN.

Cell and atoms, written as POSCAR:
```
AcCuAuN
1.0
4.0127 0.0000 0.0000
0.0000 4.0127 0.0000
0.0000 0.0000 9.4030
Ac Cu Au N
2 2 2 2
direct
0.0000 0.5000 0.8544
0.5000 0.0000 0.1456
0.0000 0.5000 0.3168
0.5000 0.0000 0.6832
0.0000 0.0000 0.5000
0.5000 0.5000 0.5000
0.5000 0.0000 0.8841
0.0000 0.5000 0.1159
```

Calculated total energy, eV per cell: -44.48
Space-group type: No. 129
Raw formation energy, eV per atom: -0.608